18
Lattice="7.9350 -0.1942 -0.2422 -1.6074 7.7729 -0.2422 -1.6074 -1.9253 7.5346" Properties=species:S:1:pos:R:3 comment="ErTiSb PBE-GGA optimized geometry" space_group="R-3 (148)" energy_ev_per_atom=-5.8968 formation_energy_uncorrected_ev_per_atom=-0.370 total_magnetization_mub_per_fu=0.00 pbc="T T T"
Ti 7.3242 -0.2500 1.6913
Sb 4.5312 0.1749 1.9263
Ti -2.6041 5.9035 5.3588
Sb 5.3568 4.7486 2.2493
Er 2.6496 5.3538 3.3374
Ti 0.3706 7.5110 0.1234
Er 1.5879 2.9809 5.9510
Er 4.7949 2.4836 4.2026
Er 2.0706 0.2996 3.7128
Ti 6.2735 5.5586 -0.3082
Er -0.0748 3.1698 2.8475
Sb -0.6367 0.9048 4.8009
Sb 1.0039 4.7872 0.5893
Ti -1.5533 0.0949 7.3583
Ti 4.3495 -1.8575 6.9268
Sb 0.1889 5.4785 5.1239
Er 3.1322 2.6726 1.0992
Sb 3.7163 0.8662 6.4609

13
Lattice="-0.2581 0.6499 -4.9847 3.6491 -4.0675 -3.2607 -4.5781 -3.4560 -2.7550" Properties=species:S:1:pos:R:3 comment="YGa4Ni8 PBE-GGA optimized geometry" formation_energy_ev_per_atom=-0.35 space_group="I4/mmm (139)" energy_ev_per_atom=-5.3368 total_magnetization_mub_per_fu=0.00 pbc="T T T"
Y 0.0000 0.0000 0.0000
Ni -1.6785 -3.6715 -2.9332
Ga 1.6955 -1.7088 -4.1227
Ni -2.8604 -3.2683 -5.3608
Ga -2.4181 -1.4030 -3.8698
Ni -0.9074 -5.3638 -8.2765
Ni -0.4945 -2.2307 -5.3480
Ni 1.6733 -3.6053 -5.6395
Ni -0.6925 -4.6429 -5.6523
Ni 0.7495 -3.8520 -3.0824
Ni -0.2796 -1.5097 -2.7238
Ga -2.2891 -1.7280 -1.3775
Ga 1.8246 -2.0338 -1.6303

3
Lattice="-0.0335 -0.6416 -3.2385 -1.6488 -1.9556 2.0875 -3.8113 2.6871 -0.4930" Properties=species:S:1:pos:R:3 comment="ZrMnBe PBE-GGA optimized geometry" formation_energy_ev_per_atom=0.33 space_group="P3m1 (156)" energy_ev_per_atom=-6.8164 polymorph_energy_mev_per_atom=498 total_magnetization_mub_per_fu=0.79 pbc="T T T"
Be -0.2326 0.1640 -0.0301
Mn -1.6114 -0.3467 -1.5976
Zr -3.6495 0.2726 -0.0163